Computed, not measured: an optimized crystal structure of Cs2BiAs at the GGA-PBE level of DFT.

Cell lengths 13.362, 13.362, 9.857 Å; angles 47.33, 47.33, 90.00 degrees
Positions (direct):
Cs 0.460 0.125 0.250
Cs 0.290 0.625 0.250
Cs 0.375 0.540 0.750
Cs 0.875 0.710 0.750
As 0.500 0.500 0.000
As 0.250 0.750 0.500
Bi 0.000 0.000 0.000
Bi 0.750 0.250 0.500

Summary:
uncorrected energy: -2.7157 eV per atom
M_tot: 0.000 μB/f.u.
symmetry: I-42d, No. 122
ΔE to the lowest computed polymorph: 222 meV/atom

Computed, not measured: an optimized crystal structure of AcZrNbN3 at the GGA-PBE level of DFT.

Cell lengths 3.392, 5.924, 8.744 Å; angles 103.41, 90.00, 90.00 degrees
Positions (direct):
Ac 0.750 0.642 0.693
Ac 0.250 0.358 0.307
Zr 0.250 0.768 0.050
Zr 0.750 0.232 0.950
Nb 0.250 0.117 0.637
Nb 0.750 0.883 0.363
N 0.250 0.770 0.484
N 0.750 0.030 0.149
N 0.750 0.570 0.152
N 0.750 0.230 0.516
N 0.250 0.430 0.848
N 0.250 0.970 0.851

Summary:
uncorrected energy: -9.2050 eV per atom
M_tot: 0.000 μB/f.u.
symmetry: P2_1/m, No. 11
formation energy from raw total energies: -1.25 eV/atom

Computed, not measured: an optimized crystal structure of TmTiCoNi at the GGA-PBE level of DFT.

Cell lengths 4.462, 4.462, 4.462 Å; angles 60.00, 60.00, 60.00 degrees
Positions (direct):
Ni 0.750 0.750 0.750
Tm 0.000 0.000 0.000
Co 0.250 0.250 0.250
Ti 0.500 0.500 0.500

Summary:
uncorrected energy: -6.5604 eV per atom
M_tot: 0.457 μB/f.u.
symmetry: F-43m, No. 216

Computed, not measured: an optimized crystal structure of Cs2HgAsO4 at the GGA-PBE level of DFT.

Cell lengths 6.185, 6.983, 11.747 Å; angles 83.30, 74.74, 63.71 degrees
Positions (direct):
Cs 0.180 0.000 0.640
Cs 0.820 0.000 0.360
Cs 0.570 0.500 0.860
Cs 0.930 0.500 0.140
Hg 0.750 0.500 0.500
Hg 0.000 0.000 0.000
As 0.250 0.500 0.500
As 0.500 0.000 0.000
O 0.377 0.833 0.084
O 0.294 0.167 0.916
O 0.790 0.833 0.916
O 0.539 0.167 0.084
O 0.373 0.667 0.416
O 0.456 0.333 0.584
O 0.960 0.667 0.584
O 0.211 0.333 0.416

Summary:
uncorrected energy: -4.4574 eV per atom
M_tot: 0.000 μB/f.u.
symmetry: Fddd, No. 70
formation energy from raw total energies: -1.15 eV/atom

Computed, not measured: an optimized crystal structure of SrBeW4 at the GGA-PBE level of DFT.

Cell lengths 5.455, 5.455, 5.455 Å; angles 60.00, 60.00, 60.00 degrees
Positions (direct):
Sr 0.000 0.000 0.000
Be 0.750 0.750 0.750
W 0.875 0.375 0.375
W 0.375 0.375 0.875
W 0.375 0.875 0.375
W 0.375 0.375 0.375

Summary:
uncorrected energy: -8.5109 eV per atom
M_tot: 0.000 μB/f.u.
symmetry: F-43m, No. 216

Computed, not measured: an optimized crystal structure of TeP at the GGA-PBE level of DFT.

Cell lengths 7.136, 7.136, 5.683 Å; angles 77.71, 77.71, 29.88 degrees
Positions (direct):
Te 0.862 0.862 0.266
Te 0.138 0.138 0.734
P 0.575 0.575 0.041
P 0.425 0.425 0.959

Summary:
uncorrected energy: -4.1323 eV per atom
M_tot: 0.000 μB/f.u.
symmetry: C2/m, No. 12
formation energy from raw total energies: 0.14 eV/atom